CsBeBi: relaxed, PBE.

Structure (CIF):
```
data_CsBeBi
_cell_length_a 8.176
_cell_length_b 4.215
_cell_length_c 14.620
_cell_angle_alpha 90.00
_cell_angle_beta 90.00
_cell_angle_gamma 90.00
_space_group_name_H-M_alt 'P n m a'
_space_group_IT_number 62
loop_
_space_group_symop_operation_xyz
'x,y,z'
'-x,-y,-z'
'-x+1/2,-y,z+1/2'
'x+1/2,y,-z+1/2'
'x+1/2,-y+1/2,-z+1/2'
'-x+1/2,y+1/2,z+1/2'
'-x,y+1/2,-z'
'x,-y+1/2,z'
loop_
_atom_site_label
_atom_site_fract_x
_atom_site_fract_y
_atom_site_fract_z
Cs1 0.155 0.250 0.141
Be1 0.039 0.750 0.470
Bi1 0.181 0.250 0.409
```

Output
Final energy: -2.86 eV/atom
Energy relative to the elements: -0.889 kcal/mol of atoms

RbTlHg2: relaxed, PBE.

Structure (CIF):
```
data_RbTlHg2
_cell_length_a 5.2064
_cell_length_b 5.2064
_cell_length_c 20.3302
_cell_angle_alpha 90.00
_cell_angle_beta 90.00
_cell_angle_gamma 120.00
_space_group_name_H-M_alt 'R 3 m'
_space_group_IT_number 160
_space_group_name_Hall 'R 3 -2"'
loop_
_atom_site_label
_atom_site_fract_x
_atom_site_fract_y
_atom_site_fract_z
Rb1 0.0000 0.0000 0.0000
Tl1 0.0000 0.0000 0.8163
Hg1 0.0000 0.0000 0.2072
Hg2 0.0000 0.0000 0.4432
```

Output
Final energy: -1.10 eV/atom
Energy relative to the elements: -2.761 kcal/mol of atoms

AcSc2Sn2Hg2: relaxed, PBE.

Structure (CIF):
```
data_AcSc2Sn2Hg2
_cell_length_a 4.9520
_cell_length_b 4.9520
_cell_length_c 26.4956
_cell_angle_alpha 90.00
_cell_angle_beta 90.00
_cell_angle_gamma 120.00
_space_group_name_H-M_alt 'R -3 m'
_space_group_IT_number 166
_space_group_name_Hall '-R 3 2"'
loop_
_atom_site_label
_atom_site_fract_x
_atom_site_fract_y
_atom_site_fract_z
Ac1 0.0000 0.0000 0.0000
Sc1 0.0000 0.0000 0.1383
Sn1 0.0000 0.0000 0.2581
Hg1 0.0000 0.0000 0.4416
```

Output
Final energy: -3.98 eV/atom
Energy relative to the elements: -8.217 kcal/mol of atoms

AcSm3YHo: relaxed, PBE.

Structure (CIF):
```
data_AcSm3YHo
_cell_length_a 20.636
_cell_length_b 5.827
_cell_length_c 7.129
_cell_angle_alpha 90.00
_cell_angle_beta 91.08
_cell_angle_gamma 90.00
_space_group_name_H-M_alt 'C 1 2/m 1'
_space_group_IT_number 12
loop_
_space_group_symop_operation_xyz
'x,y,z'
'-x,-y,-z'
'-x,y,-z'
'x,-y,z'
'x+1/2,y+1/2,z'
'-x+1/2,-y+1/2,-z'
'-x+1/2,y+1/2,-z'
'x+1/2,-y+1/2,z'
loop_
_atom_site_label
_atom_site_fract_x
_atom_site_fract_y
_atom_site_fract_z
Ac1 0.147 0.000 0.028
Sm1 0.018 0.000 0.734
Sm2 0.161 0.500 0.734
Sm3 0.219 0.500 0.267
Y1 0.057 0.500 0.295
Ho1 0.145 0.000 0.481
```

Output
Final energy: -4.66 eV/atom
Energy relative to the elements: 5.221 kcal/mol of atoms

LiZrGaBr6: relaxed, PBE.

Structure (CIF):
```
data_LiZrGaBr6
_cell_length_a 6.9986
_cell_length_b 6.9986
_cell_length_c 13.5223
_cell_angle_alpha 90.00
_cell_angle_beta 90.00
_cell_angle_gamma 120.00
_space_group_name_H-M_alt 'P -3 1 c'
_space_group_IT_number 163
_space_group_name_Hall '-P 3 2c'
loop_
_atom_site_label
_atom_site_fract_x
_atom_site_fract_y
_atom_site_fract_z
Li1 0.3333 0.6667 0.2500
Zr1 0.3333 0.6667 0.7500
Ga1 0.0000 0.0000 0.0000
Br1 0.0113 0.3699 0.6366
```

Output
Final energy: -3.84 eV/atom
ΔE_f (raw): -1.23 eV per atom